An optimized crystal structure of Mg2CdMoF. Source: Alexandria, functional PBE+U.

Summary:
Mass density in g cm⁻³: 3.39
Total DFT energy (no corrections) in eV/atom: -2.35

a = 5.453 Å, b = 5.453 Å, c = 4.549 Å
α = 90.00°, β = 90.00°, γ = 90.00°
Space group P4/mmm (No. 123)
Symmetry-distinct sites (fractional):
Mg 0.000 0.500 0.000 [2 per cell]
Cd 0.000 0.000 0.000 [1 per cell]
Mo 0.500 0.500 0.500 [1 per cell]
F 0.000 0.000 0.500 [1 per cell]